Record 1
Entry from the Alexandria database: a relaxed structure of ZrFe2CoGe (GGA-PBE).

Lattice parameters (Å, degrees): 4.255 4.219 4.255 90.00 90.00 90.00
Fractional positions:
Fe1 0.000 0.000 0.500
Fe2 0.500 0.000 0.000
Ge1 0.000 0.000 0.000
Co1 0.000 0.500 0.000
Zr1 0.500 0.500 0.500

Calculated values
**E**: -6.946 eV/atom
**ΔH_f (0 K)**: 2.469 eV/f.u.
**Symmetry**: P4/mmm (123)

=====

Record 2
Entry from the Alexandria database: a relaxed structure of Th2ZrTl (GGA-PBE).

Lattice parameters (Å, degrees): 4.912 4.761 4.761 90.00 90.00 90.00
Fractional positions:
Th1 0.000 0.500 0.000
Th2 0.000 0.000 0.500
Zr1 0.500 0.500 0.500
Tl1 0.500 0.000 0.000

Calculated values
**E**: -6.471 eV/atom
**ΔH_f (0 K)**: -0.131 eV/f.u.
**Symmetry**: P4/mmm (123)

=====

Record 3
Entry from the Alexandria database: a relaxed structure of TaAlHg2 (GGA-PBE).

Lattice parameters (Å, degrees): 3.127 3.127 9.873 90.00 90.00 122.80
Fractional positions:
Al1 0.500 0.500 0.750
Ta1 0.500 0.500 0.250
Hg1 0.000 0.000 0.506
Hg2 0.000 0.000 0.994

Calculated values
**E**: -3.672 eV/atom
**ΔH_f (0 K)**: 1.510 eV/f.u.
**Symmetry**: Cmmm (65)

=====

Record 4
Entry from the Alexandria database: a relaxed structure of Tb2Ho3TmSb6 (GGA-PBE).

Lattice parameters (Å, degrees): 4.373 8.746 9.776 102.87 102.92 90.00
Fractional positions:
Ho1 0.167 0.833 0.335
Ho2 0.833 0.167 0.665
Ho3 0.500 0.500 0.000
Sb1 0.666 0.584 0.332
Sb2 0.334 0.919 0.668
Sb3 0.999 0.248 0.998
Sb4 0.001 0.752 0.002
Sb5 0.666 0.081 0.332
Sb6 0.334 0.416 0.668
Tm1 0.500 0.000 0.000
Tb1 0.834 0.667 0.668
Tb2 0.166 0.333 0.332

Calculated values
**E**: -5.467 eV/atom
**E_form (uncorrected)**: -1117 meV/atom
**Symmetry**: C2/m (12)

=====

Question: Which of these has the highest E?
Answer: TaAlHg2

=====

Please write out number 1 again, unchanged.
Entry from the Alexandria database: a relaxed structure of ZrFe2CoGe (GGA-PBE).

Lattice parameters (Å, degrees): 4.255 4.219 4.255 90.00 90.00 90.00
Fractional positions:
Fe1 0.000 0.000 0.500
Fe2 0.500 0.000 0.000
Ge1 0.000 0.000 0.000
Co1 0.000 0.500 0.000
Zr1 0.500 0.500 0.500

Calculated values
**E**: -6.946 eV/atom
**ΔH_f (0 K)**: 2.469 eV/f.u.
**Symmetry**: P4/mmm (123)

=====

Question: Which value of E does entry 2 give?
Answer: -6.471 eV/atom